{"formula": "LuMgNi2", "functional": "GGA-PBE", "state": "optimized geometry", "lattice_angstrom": [[3.2035, 0.0000, 0.0000], [0.0000, 3.2035, 0.0000], [0.0000, 0.0000, 6.2862]], "species": ["Lu", "Mg", "Ni", "Ni"], "fractional_positions": [[0.0000, 0.0000, 0.0000], [0.0000, 0.0000, 0.5000], [0.5000, 0.5000, 0.2665], [0.5000, 0.5000, 0.7335]], "dos_ef_per_ev_cell": 1.0, "magnetic_moment_mub_per_fu": 0.00, "e_tot_ev_per_atom": -4.7368, "space_group": "P4/mmm", "volume_a3_per_atom": 16.1, "e_form_ev_per_atom": -0.32}